Compound: EuHo3Fe
Source: Alexandria via LeMat-Bulk
Functional: GGA-PBE
Structure: optimized geometry

a = 5.3045 Å, b = 5.3045 Å, c = 5.3045 Å
α = 90.00°, β = 90.00°, γ = 90.00°
With the nearest neighbours (Å) after each atom.
Element x y z (fractional)
Ho1 0.0000 0.5000 0.0000  2 Fe 2.65
Ho2 0.5000 0.0000 0.0000  2 Fe 2.65
Ho3 0.0000 0.0000 0.5000  2 Fe 2.65
Eu1 0.5000 0.5000 0.5000  12 Ho 3.75
Fe1 0.0000 0.0000 0.0000  6 Ho 2.65

The crystal system is cubic. For the formation enthalpy at 0 K, the calculation gives 48 meV/atom. The density of states at the Fermi level is 4.2 states/eV/cell.